Record 1
VASP calculation (PBE-GGA) on SrPrHgAu after structural relaxation.

Computed properties:
Its total magnetization is 0.000 μB per formula unit. For the energy of formation, the calculation gives -0.584 eV/atom. Its excess energy over the best structure of this formula in the dataset is 3.8 kJ per mole of atoms.

Unit cell a=5.442 b=5.442 c=5.442 alpha=60.00 beta=60.00 gamma=60.00
Atoms (fractional coordinates):
Sr: 0.250 0.250 0.250
Au: 0.500 0.500 0.500
Hg: 0.000 0.000 0.000
Pr: 0.750 0.750 0.750

=====

Record 2
VASP calculation (PBE-GGA) on NaHfNF2 after structural relaxation.

Computed properties:
Its total magnetization is 0.000 μB per formula unit. The value obtained for the uncorrected formation energy is -2.206 eV per atom. Its excess energy over the best structure of this formula in the dataset is 0.0 kJ per mole of atoms.

Unit cell a=4.219 b=4.219 c=4.148 alpha=90.00 beta=90.00 gamma=90.00
Atoms (fractional coordinates):
Hf: 0.000 0.000 0.000
F: 0.500 0.000 0.000
F: 0.000 0.500 0.000
Na: 0.500 0.500 0.500
N: 0.000 0.000 0.500

=====

Record 3
VASP calculation (PBE-GGA) on CoAs4Os after structural relaxation.

Computed properties:
Its total magnetization is 0.856 μB per formula unit. For the energy of formation, the calculation gives 1.178 eV/atom. Its excess energy over the best structure of this formula in the dataset is 134.0 kJ per mole of atoms.

Unit cell a=5.292 b=5.292 c=5.292 alpha=60.00 beta=60.00 gamma=60.00
Atoms (fractional coordinates):
As: 0.625 0.125 0.625
As: 0.625 0.625 0.625
As: 0.625 0.625 0.125
As: 0.125 0.625 0.625
Co: 0.250 0.250 0.250
Os: 0.000 0.000 0.000

=====

Record 4
VASP calculation (PBE-GGA) on AcPr6Y4 after structural relaxation.

Computed properties:
Its total magnetization is 0.000 μB per formula unit. For the energy of formation, the calculation gives 0.304 eV/atom. Its excess energy over the best structure of this formula in the dataset is 0.0 kJ per mole of atoms.

Unit cell a=10.122 b=10.122 c=10.122 alpha=55.71 beta=141.41 gamma=141.41
Atoms (fractional coordinates):
Y: 0.626 0.994 0.994
Y: 0.000 0.006 0.632
Y: 0.000 0.632 0.006
Y: 0.374 0.368 0.368
Ac: 0.000 0.000 0.000
Pr: 0.500 0.000 0.500
Pr: 0.641 0.189 0.189
Pr: 0.000 0.453 0.811
Pr: 0.000 0.811 0.453
Pr: 0.500 0.500 0.000
Pr: 0.359 0.547 0.547

=====

Record 5
VASP calculation (PBE-GGA) on Li2Ho5In5 after structural relaxation.

Computed properties:
Its total magnetization is 0.000 μB per formula unit. For the energy of formation, the calculation gives -0.327 eV/atom.

Unit cell a=5.043 b=5.013 c=14.374 alpha=100.05 beta=90.00 gamma=120.20
Atoms (fractional coordinates):
In: 0.399 0.798 0.205
In: 0.000 0.000 0.000
In: 0.861 0.721 0.576
In: 0.139 0.279 0.424
In: 0.601 0.202 0.795
Li: 0.932 0.863 0.787
Li: 0.068 0.137 0.213
Ho: 0.773 0.546 0.328
Ho: 0.307 0.614 0.916
Ho: 0.227 0.454 0.672
Ho: 0.693 0.386 0.084
Ho: 0.500 0.000 0.500

=====

Record 6
VASP calculation (PBE-GGA) on VPt after structural relaxation.

Computed properties:
Its total magnetization is 0.000 μB per formula unit. For the energy of formation, the calculation gives -0.335 eV/atom.

Unit cell a=4.745 b=4.745 c=4.745 alpha=33.51 beta=33.51 gamma=33.51
Atoms (fractional coordinates):
V: 0.500 0.500 0.500
Pt: 0.000 0.000 0.000

=====

Record 7
VASP calculation (PBE-GGA) on Ho5Er2Sc3 after structural relaxation.

Computed properties:
Its total magnetization is 0.000 μB per formula unit. For the energy of formation, the calculation gives 0.196 eV/atom.

Unit cell a=9.115 b=9.089 c=9.310 alpha=108.66 beta=108.77 gamma=110.09
Atoms (fractional coordinates):
Sc: 0.492 0.540 0.769
Sc: 0.223 0.771 0.231
Sc: 0.283 0.033 0.066
Sc: 0.777 0.229 0.769
Sc: 0.508 0.460 0.231
Sc: 0.717 0.967 0.934
Er: 0.980 0.028 0.770
Er: 0.289 0.742 0.770
Er: 0.020 0.972 0.230
Er: 0.711 0.258 0.230
Ho: 0.019 0.269 0.538
Ho: 0.482 0.232 0.465
Ho: 0.101 0.365 0.213
Ho: 0.899 0.635 0.787
Ho: 0.388 0.152 0.787
Ho: 0.782 0.532 0.064
Ho: 0.518 0.768 0.535
Ho: 0.218 0.468 0.936
Ho: 0.612 0.848 0.213
Ho: 0.981 0.731 0.462

=====

Record 8
VASP calculation (PBE-GGA) on SrGaBi2 after structural relaxation.

Computed properties:
Its total magnetization is 0.000 μB per formula unit. For the energy of formation, the calculation gives -0.318 eV/atom.

Unit cell a=8.439 b=8.439 c=7.023 alpha=53.07 beta=53.07 gamma=90.00
Atoms (fractional coordinates):
Ga: 0.250 0.750 0.500
Ga: 0.500 0.500 0.000
Bi: 0.565 0.125 0.250
Bi: 0.375 0.435 0.750
Bi: 0.185 0.625 0.250
Bi: 0.875 0.815 0.750
Sr: 0.000 0.000 0.000
Sr: 0.750 0.250 0.500